{"formula": "SrPt2", "functional": "PBE", "state": "optimized geometry", "lattice": [[5.822, 0.000, 0.000], [0.000, 4.529, 0.000], [0.000, 0.000, 10.634]], "species": ["Sr", "Sr", "Sr", "Sr", "Pt", "Pt", "Pt", "Pt", "Pt", "Pt", "Pt", "Pt"], "frac_coords": [[0.107, 0.250, 0.138], [0.393, 0.750, 0.638], [0.607, 0.250, 0.362], [0.893, 0.750, 0.862], [0.088, 0.250, 0.458], [0.204, 0.750, 0.342], [0.296, 0.250, 0.842], [0.412, 0.750, 0.958], [0.588, 0.250, 0.042], [0.704, 0.750, 0.158], [0.796, 0.250, 0.658], [0.912, 0.750, 0.542]], "volume_a3_per_cell": 280.4, "e_form_mev_per_atom": -581, "final_energy_ev_per_atom": -5.17}